La3Mg5 | GGA-PBEsol | optimized geometry

abc: 6.707 6.707 5.287
angles: 90.00 90.00 107.41
Element x y z (fractional)
La 0.000 0.000 0.000
La 0.263 0.737 0.500
La 0.737 0.263 0.500
Mg 0.000 0.500 0.000
Mg 0.257 0.257 0.500
Mg 0.500 0.000 0.000
Mg 0.500 0.500 0.000
Mg 0.743 0.743 0.500

Results
- E_tot: -3.1366 eV/atom
- DOS at the Fermi energy: 6.76 states/eV per cell
- Theoretical density: 3.94 Mg/m³
- Space-group type: Cmmm, No. 65
- Energy of formation: -59 meV per atom
- Total moment: 0.00 μB per atom